*A*
This record from Alexandria via LeMat-Bulk describes an optimized crystal structure of Tc3BiF. The functional is PBE.

Cell: 5.227 5.227 5.227 Å, 90.00 90.00 90.00°
Sites, in units of the cell vectors:
Tc 0.000 0.000 0.500
Tc 0.000 0.500 0.000
Tc 0.500 0.000 0.000
Bi 0.000 0.000 0.000
F 0.500 0.500 0.500

***

*B*
This record from Alexandria via LeMat-Bulk describes an optimized crystal structure of Tc3BiF. The functional is PBE.

Cell: 4.378 4.378 4.378 Å, 90.00 90.00 90.00°
Sites, in units of the cell vectors:
Tc 0.000 0.000 0.500
Tc 0.000 0.500 0.000
Tc 0.500 0.000 0.000
Bi 0.500 0.500 0.500
F 0.000 0.000 0.000

***

Least stable of them? *A*.

***

*A*
This record from Alexandria via LeMat-Bulk describes an optimized crystal structure of Tc2Bi2F. The functional is PBE.

Cell: 8.320 8.320 3.152 Å, 90.00 90.00 90.00°
Sites, in units of the cell vectors:
Tc 0.094 0.406 0.000
Tc 0.406 0.906 0.000
Tc 0.594 0.094 0.000
Tc 0.906 0.594 0.000
Bi 0.190 0.690 0.500
Bi 0.310 0.190 0.500
Bi 0.690 0.810 0.500
Bi 0.810 0.310 0.500
F 0.000 0.000 0.500
F 0.500 0.500 0.500

***

*B*
This record from Alexandria via LeMat-Bulk describes an optimized crystal structure of Tc2Bi2F. The functional is PBE.

Cell: 8.481 8.481 8.481 Å, 155.48 155.48 34.96°
Sites, in units of the cell vectors:
Tc 0.250 0.750 0.500
Tc 0.750 0.250 0.500
Bi 0.108 0.108 0.000
Bi 0.892 0.892 0.000
F 0.500 0.500 0.000

***

Least stable of them? *A*.